An optimized crystal structure of CrNi2RhO6, computed with GGA+U.

Output
Its symmetry is P4mm, No. 99. The value obtained for the total magnetization is 0.233 μB/atom. The value obtained for the total energy is -5.686 eV per atom.

Unit cell a=3.7931 b=5.6766 c=5.6766 alpha=90.00 beta=90.00 gamma=90.00
Closest atoms and distances in Å follow each position.
Atoms (fractional coordinates):
1 Rh 0.6900 0.0000 0.0000  6 O 1.87-2.04
2 O 0.7479 0.7474 0.7474  1 Cr 2.01, 1 Rh 2.04, 2 Ni 2.05
3 Ni 0.8513 0.5000 0.0000  4 O 2.05
4 O 0.1981 0.0000 0.0000  2 Rh 1.87-1.93
5 Ni 0.8513 0.0000 0.5000  4 O 2.05
6 O 0.7479 0.2526 0.7474  1 Cr 2.01, 1 Rh 2.04, 2 Ni 2.05
7 O 0.1956 0.5000 0.5000  2 Cr 1.80-2.00
8 Cr 0.6690 0.5000 0.5000  6 O 1.80-2.01
9 O 0.7479 0.2526 0.2526  1 Cr 2.01, 1 Rh 2.04, 2 Ni 2.05
10 O 0.7479 0.7474 0.2526  1 Cr 2.01, 1 Rh 2.04, 2 Ni 2.05